*a*
Computed, not measured: a geometry-optimized Be2CrOs structure at the GGA-PBE level of DFT.

Properties
Symmetry: R-3m
V: 11.421 Å³/atom

abc: 7.8759 7.8759 7.8759
angles: 19.09 19.09 19.09
Each line ends with the local moment (μB).
Fractional positions:
Cr: 0.2500 0.2500 0.2500  0.27
Os: 0.7500 0.7500 0.7500  0.01
Be: 0.0003 0.0003 0.0003  0.00
Be: 0.4997 0.4997 0.4997  0.00

=====

*b*
Computed, not measured: a geometry-optimized Be2CrOs structure at the GGA-PBE level of DFT.

Properties
Symmetry: Cmm2
V: 11.496 Å³/atom

abc: 2.5600 2.5600 7.6784
angles: 90.00 90.00 113.97
Fractional positions:
Cr: 0.0000 0.0000 0.4853
Os: 0.5000 0.5000 0.7593
Be: 0.0000 0.0000 0.0136
Be: 0.5000 0.5000 0.2418

=====

*c*
Computed, not measured: a geometry-optimized Be2CrOs structure at the GGA-PBE level of DFT.

Properties
Symmetry: P4/mmm
V: 10.745 Å³/atom

abc: 3.8362 3.8362 2.9206
angles: 90.00 90.00 90.02
Each line ends with the local moment (μB).
Fractional positions:
Cr: 0.5000 0.0000 0.5000  2.11
Os: 0.0000 0.5000 0.5000  0.14
Be: 0.0000 0.0000 0.0000  0.00
Be: 0.5000 0.5000 0.0000  0.00

=====

*d*
Computed, not measured: a geometry-optimized Be2CrOs structure at the GGA-PBE level of DFT.

Properties
Symmetry: I-4m2
V: 10.858 Å³/atom

abc: 3.9519 3.9520 3.9402
angles: 120.04 120.04 90.07
Fractional positions:
Cr: 0.4998 0.5002 0.0000
Os: 0.7503 0.2497 0.5000
Be: 0.9999 0.0001 0.0000
Be: 0.2500 0.7500 0.5000

=====

List of relative energies, unit kJ/mol of atoms: *a* 34.7; *b* 38.0; *c* 15.2; *d* 0.0

=====

*a*
Computed, not measured: a geometry-optimized Be2CrOs structure at the GGA-PBE level of DFT.

Properties
Symmetry: I-42d
V: 12.047 Å³/atom

abc: 3.4146 3.4146 8.6116
angles: 78.57 78.57 90.00
Fractional positions:
Cr: 0.5000 0.5000 0.0000
Cr: 0.2500 0.7500 0.5000
Os: 0.0000 0.0000 0.0000
Os: 0.7500 0.2500 0.5000
Be: 0.6266 0.1250 0.2500
Be: 0.1234 0.6250 0.2500
Be: 0.3750 0.3734 0.7500
Be: 0.8750 0.8766 0.7500

=====

*b*
Computed, not measured: a geometry-optimized Be2CrOs structure at the GGA-PBE level of DFT.

Properties
Symmetry: Fm-3m
V: 10.710 Å³/atom

abc: 3.9276 3.9276 3.9276
angles: 60.00 60.00 60.00
Each line ends with the local moment (μB).
Fractional positions:
Cr: 0.0000 0.0000 0.0000  2.24
Os: 0.5000 0.5000 0.5000  -0.01
Be: 0.2500 0.2500 0.2500  -0.01
Be: 0.7500 0.7500 0.7500  -0.01

=====

List of relative energies, unit kJ/mol of atoms: *a* 51.8; *b* 0.0

=====

*a*
Computed, not measured: a geometry-optimized Be2CrOs2 structure at the GGA-PBE level of DFT.

Properties
Symmetry: P4/mbm
V: 11.937 Å³/atom

abc: 6.4483 6.4483 2.8708
angles: 90.00 90.00 90.00
Fractional positions:
Cr: 0.0000 0.0000 0.0000
Cr: 0.5000 0.5000 0.0000
Os: 0.3532 0.8532 0.0000
Os: 0.8532 0.6468 0.0000
Os: 0.6468 0.1468 0.0000
Os: 0.1468 0.3532 0.0000
Be: 0.1507 0.6507 0.5000
Be: 0.6507 0.8493 0.5000
Be: 0.8493 0.3493 0.5000
Be: 0.3493 0.1507 0.5000

=====

*b*
Computed, not measured: a geometry-optimized Be2CrOs2 structure at the GGA-PBE level of DFT.

Properties
Symmetry: P4/mbm
V: 11.102 Å³/atom

abc: 6.1392 6.1392 2.9457
angles: 90.00 90.00 90.00
Each line ends with the local moment (μB).
Fractional positions:
Cr: 0.0000 0.0000 0.0000  1.58
Cr: 0.5000 0.5000 0.0000  1.58
Os: 0.1723 0.6723 0.5000  -0.10
Os: 0.6723 0.8277 0.5000  -0.11
Os: 0.8277 0.3277 0.5000  -0.10
Os: 0.3277 0.1723 0.5000  -0.11
Be: 0.3775 0.8775 0.0000  -0.01
Be: 0.8775 0.6225 0.0000  -0.01
Be: 0.6225 0.1225 0.0000  -0.01
Be: 0.1225 0.3775 0.0000  -0.01

=====

List of relative energies, unit kJ/mol of atoms: *a* 38.7; *b* 0.0

=====

*a*
Computed, not measured: a geometry-optimized BeCr2P structure at the GGA-PBE level of DFT.

Properties
Symmetry: Cmmm
V: 10.530 Å³/atom

abc: 3.7251 3.7251 3.0664
angles: 90.00 90.00 98.17
Fractional positions:
Cr: 0.0000 0.0000 0.0000
Cr: 0.5000 0.5000 0.0000
Be: 0.0000 0.5000 0.5000
P: 0.5000 0.0000 0.5000

=====

*b*
Computed, not measured: a geometry-optimized BeCr2P structure at the GGA-PBE level of DFT.

Properties
Symmetry: P4/mmm
V: 10.685 Å³/atom

abc: 2.9406 2.9406 4.9428
angles: 90.00 90.00 90.00
Fractional positions:
Cr: 0.0000 0.0000 0.0109
Cr: 0.0000 0.0000 0.4891
Be: 0.5000 0.5000 0.7500
P: 0.5000 0.5000 0.2500

=====

List of relative energies, unit kJ/mol of atoms: *a* 0.0; *b* 2.4

=====

*a*
Computed, not measured: a geometry-optimized BeCrP3 structure at the GGA-PBE level of DFT.

Properties
Symmetry: Pm-3m
V: 14.546 Å³/atom

abc: 4.1741 4.1741 4.1741
angles: 90.00 90.00 90.00
Each line ends with the local moment (μB).
Fractional positions:
Cr: 0.5000 0.5000 0.5000  -0.20
Be: 0.0000 0.0000 0.0000  -0.02
P: 0.0000 0.5000 0.0000  0.02
P: 0.0000 0.0000 0.5000  0.00
P: 0.5000 0.0000 0.0000  0.02

=====

*b*
Computed, not measured: a geometry-optimized BeCrP3 structure at the GGA-PBE level of DFT.

Properties
Symmetry: Pm-3m
V: 17.145 Å³/atom

abc: 4.4093 4.4093 4.4093
angles: 90.00 90.00 90.00
Fractional positions:
Cr: 0.0000 0.0000 0.0000
Be: 0.5000 0.5000 0.5000
P: 0.0000 0.5000 0.0000
P: 0.0000 0.0000 0.5000
P: 0.5000 0.0000 0.0000

=====

List of relative energies, unit kJ/mol of atoms: *a* 20.9; *b* 0.0

=====

*a*
Computed, not measured: a geometry-optimized BeCrP2S structure at the GGA-PBE level of DFT.

Properties
Symmetry: P4/mmm
V: 17.471 Å³/atom

abc: 4.5226 4.5226 4.2707
angles: 90.00 90.00 90.00
Fractional positions:
Cr: 0.0000 0.0000 0.0000
S: 0.0000 0.0000 0.5000
Be: 0.5000 0.5000 0.5000
P: 0.0000 0.5000 0.0000
P: 0.5000 0.0000 0.0000

=====

*b*
Computed, not measured: a geometry-optimized BeCrP2S structure at the GGA-PBE level of DFT.

Properties
Symmetry: P4/mmm
V: 16.573 Å³/atom

abc: 4.3302 4.4193 4.3302
angles: 90.00 90.00 90.00
Each line ends with the local moment (μB).
Fractional positions:
Cr: 0.0000 0.0000 0.0000  0.26
S: 0.5000 0.5000 0.5000  0.00
Be: 0.0000 0.5000 0.0000  -0.01
P: 0.0000 0.0000 0.5000  -0.03
P: 0.5000 0.0000 0.0000  -0.03

=====

List of relative energies, unit kJ/mol of atoms: *a* 5.7; *b* 0.0

=====

*a*
Computed, not measured: a geometry-optimized BeCrPS2 structure at the GGA-PBE level of DFT.

Properties
Symmetry: P4/mmm
V: 16.119 Å³/atom

abc: 4.4763 4.4763 4.0223
angles: 90.00 90.00 90.00
Each line ends with the local moment (μB).
Fractional positions:
Cr: 0.5000 0.5000 0.5000  3.78
S: 0.0000 0.5000 0.0000  -0.16
S: 0.5000 0.0000 0.0000  -0.16
Be: 0.0000 0.0000 0.0000  0.02
P: 0.0000 0.0000 0.5000  -0.15

=====

*b*
Computed, not measured: a geometry-optimized BeCrPS2 structure at the GGA-PBE level of DFT.

Properties
Symmetry: P4/mmm
V: 17.942 Å³/atom

abc: 4.4046 4.4046 4.6241
angles: 90.00 90.00 90.00
Each line ends with the local moment (μB).
Fractional positions:
Cr: 0.0000 0.0000 0.0000  1.20
S: 0.0000 0.5000 0.0000  -0.07
S: 0.5000 0.0000 0.0000  -0.07
Be: 0.5000 0.5000 0.5000  0.01
P: 0.0000 0.0000 0.5000  -0.09

=====

List of relative energies, unit kJ/mol of atoms: *a* 0.0; *b* 19.2

=====

*a*
Computed, not measured: a geometry-optimized BeCr2Pb structure at the GGA-PBE level of DFT.

Properties
Symmetry: P4/mmm
V: 16.178 Å³/atom

abc: 4.0781 4.0683 3.9004
angles: 90.00 90.00 90.00
Each line ends with the local moment (μB).
Fractional positions:
Pb: 0.5000 0.0000 0.5000  -0.11
Cr: 0.0000 0.0000 0.0000  3.22
Cr: 0.5000 0.5000 0.0000  3.22
Be: 0.0000 0.5000 0.5000  -0.10

=====

*b*
Computed, not measured: a geometry-optimized BeCr2Pb structure at the GGA-PBE level of DFT.

Properties
Symmetry: I-42d
V: 15.540 Å³/atom

abc: 3.7044 3.7044 9.4305
angles: 78.67 78.67 90.00
Fractional positions:
Pb: 0.0000 0.0000 0.0000
Pb: 0.7500 0.2500 0.5000
Cr: 0.2095 0.1250 0.2500
Cr: 0.5405 0.6250 0.2500
Cr: 0.3750 0.7905 0.7500
Cr: 0.8750 0.4595 0.7500
Be: 0.5000 0.5000 0.0000
Be: 0.2500 0.7500 0.5000

=====

*c*
Computed, not measured: a geometry-optimized BeCr2Pb structure at the GGA-PBE level of DFT.

Properties
Symmetry: C2/m
V: 15.361 Å³/atom

abc: 3.9418 3.9418 5.0989
angles: 67.26 67.26 60.09
Fractional positions:
Pb: 0.7500 0.7500 0.7500
Cr: 0.9475 0.9475 0.1562
Cr: 0.5525 0.5525 0.3438
Be: 0.2500 0.2500 0.2500

=====

*d*
Computed, not measured: a geometry-optimized BeCr2Pb structure at the GGA-PBE level of DFT.

Properties
Symmetry: P4/mmm
V: 14.869 Å³/atom

abc: 3.1230 3.1230 6.0982
angles: 90.00 90.00 90.00
Fractional positions:
Pb: 0.5000 0.5000 0.2500
Cr: 0.0000 0.0000 0.9117
Cr: 0.0000 0.0000 0.5883
Be: 0.5000 0.5000 0.7500

=====

List of relative energies, unit kJ/mol of atoms: *a* 13.7; *b* 35.6; *c* 4.5; *d* 0.0